This record from Alexandria describes an optimized crystal structure of SbPt2. The functional is PBE.

Calculated values
* formation energy without anion corrections: 0.104 eV per atom

```
data_SbPt2
_chemical_formula_sum 'Sb1 Pt2'
_space_group_name_H-M_alt 'P 6/m m m'
_space_group_IT_number 191
_space_group_name_Hall '-P 6 2'
_cell_length_a 4.6289
_cell_length_b 4.6289
_cell_length_c 3.0426
_cell_angle_alpha 90.00
_cell_angle_beta 90.00
_cell_angle_gamma 120.00
loop_
_atom_site_label
_atom_site_type_symbol
_atom_site_fract_x
_atom_site_fract_y
_atom_site_fract_z
Sb1 Sb 0.0000 0.0000 0.0000
Pt1 Pt 0.3333 0.6667 0.5000
```


This record from Alexandria describes an optimized crystal structure of SbPt3. The functional is PBE.

Calculated values
* formation energy without anion corrections: -0.173 eV per atom

```
data_SbPt3
_chemical_formula_sum 'Sb4 Pt12'
_space_group_name_H-M_alt 'C m c m'
_space_group_IT_number 63
_space_group_name_Hall '-C 2c 2'
_cell_length_a 3.990
_cell_length_b 17.893
_cell_length_c 3.991
_cell_angle_alpha 90.00
_cell_angle_beta 90.00
_cell_angle_gamma 90.00
loop_
_atom_site_label
_atom_site_type_symbol
_atom_site_fract_x
_atom_site_fract_y
_atom_site_fract_z
Sb1 Sb 0.000 0.181 0.250
Pt1 Pt 0.000 0.057 0.750
Pt2 Pt 0.000 0.333 0.250
Pt3 Pt 0.000 0.444 0.750
```